This record from Alexandria via LeMat-Bulk describes a relaxed Pu6Ru5Rh crystal. The functional is PBE-GGA.

Structure (POSCAR):
```
Pu6Ru5Rh
1.0
-1.592 1.619 4.175
-3.741 -7.301 -1.316
8.295 0.386 0.292
Ru Rh Pu
5 1 6
Direct
0.500 0.167 0.833
0.000 0.334 0.666
0.500 0.500 0.500
0.000 0.666 0.334
0.500 0.833 0.167
0.000 0.000 0.000
0.250 0.083 0.418
0.750 0.582 0.917
0.751 0.251 0.251
0.249 0.749 0.749
0.250 0.418 0.083
0.750 0.917 0.582
```

Properties
The symmetry is C2/m (12). The calculation puts the energy at -141.98 eV for the cell shown. Its formation energy is -0.19 eV/atom. The total magnetic moment comes out at 26.83 μB/f.u.